[1]
DFT (GGA-PBE) results for an optimized crystal structure of LiZrCuSe2S.

Geometry as POSCAR:
```
LiZrCuSe2S
1.0
1.867 -6.380 0.000
1.867 6.380 0.000
0.000 0.000 9.848
Li Zr Cu Se S
2 2 2 4 2
direct
0.246 0.754 0.750
0.754 0.246 0.250
0.500 0.500 0.000
0.500 0.500 0.500
0.022 0.978 0.250
0.978 0.022 0.750
0.145 0.855 0.064
0.145 0.855 0.436
0.855 0.145 0.564
0.855 0.145 0.936
0.414 0.586 0.250
0.586 0.414 0.750
```

* theoretical density: 4.98 g cm⁻³
* electronic total energy: -5.269 eV per atom
* total moment: 0.01 μB/cell

[2]
DFT (GGA-PBE) results for an optimized crystal structure of LiCuSiTeS2.

Geometry as POSCAR:
```
LiCuSiTeS2
1.0
1.659 -6.558 0.000
1.659 6.558 0.000
0.000 0.000 10.592
Li Cu Si Te S
2 2 2 2 4
direct
0.230 0.770 0.750
0.770 0.230 0.250
0.426 0.574 0.250
0.574 0.426 0.750
0.000 0.000 0.000
0.000 0.000 0.500
0.090 0.910 0.250
0.910 0.090 0.750
0.379 0.621 0.052
0.379 0.621 0.448
0.621 0.379 0.552
0.621 0.379 0.948
```

* theoretical density: 4.18 g cm⁻³
* electronic total energy: -4.095 eV per atom

[3]
DFT (GGA-PBE) results for an optimized crystal structure of LiCuSnS3.

Geometry as POSCAR:
```
LiCuSnS3
1.0
1.853 -5.925 0.000
1.853 5.925 0.000
0.000 0.000 10.313
Li Cu Sn S
2 2 2 6
direct
0.219 0.781 0.750
0.781 0.219 0.250
0.060 0.940 0.250
0.940 0.060 0.750
0.500 0.500 0.000
0.500 0.500 0.500
0.144 0.856 0.054
0.144 0.856 0.446
0.424 0.576 0.250
0.576 0.424 0.750
0.856 0.144 0.554
0.856 0.144 0.946
```

* energy relative to the lowest polymorph listed for this composition: 0.054 eV per atom
* theoretical density: 4.18 g cm⁻³
* electronic total energy: -4.145 eV per atom

[4]
DFT (GGA-PBE) results for an optimized crystal structure of LiCuSnS3.

Geometry as POSCAR:
```
LiCuSnS3
1.0
7.341 0.000 0.000
0.000 3.722 0.000
-1.411 0.000 8.465
Li Cu Sn S
2 2 2 6
direct
0.216 0.250 0.154
0.784 0.750 0.846
0.456 0.250 0.908
0.544 0.750 0.092
0.182 0.750 0.652
0.818 0.250 0.348
0.080 0.750 0.344
0.244 0.750 0.960
0.417 0.250 0.641
0.583 0.750 0.359
0.756 0.250 0.040
0.920 0.250 0.656
```

* energy relative to the lowest polymorph listed for this composition: 0.000 eV per atom
* theoretical density: 4.10 g cm⁻³
* electronic total energy: -4.198 eV per atom

[5]
DFT (GGA-PBE) results for an optimized crystal structure of LiCu3SnS4.

Geometry as POSCAR:
```
LiCu3SnS4
1.0
5.626 0.000 0.000
0.000 5.626 0.000
0.000 0.000 5.626
Li Cu Sn S
1 3 1 4
direct
0.000 0.000 0.000
0.000 0.500 0.500
0.500 0.000 0.500
0.500 0.500 0.000
0.500 0.500 0.500
0.250 0.250 0.250
0.250 0.750 0.750
0.750 0.250 0.750
0.750 0.750 0.250
```

* energy relative to the lowest polymorph listed for this composition: 0.059 eV per atom
* theoretical density: 4.15 g cm⁻³
* electronic total energy: -4.003 eV per atom

[6]
DFT (GGA-PBE) results for an optimized crystal structure of LiCu3SnS4.

Geometry as POSCAR:
```
LiCu3SnS4
1.0
5.590 0.000 0.000
0.000 7.549 0.000
-0.417 0.000 8.119
Li Cu Sn S
2 6 2 8
direct
0.244 0.250 0.307
0.756 0.750 0.693
0.285 0.571 0.022
0.285 0.929 0.022
0.334 0.750 0.299
0.666 0.250 0.701
0.715 0.071 0.978
0.715 0.429 0.978
0.196 0.250 0.738
0.804 0.750 0.262
0.037 0.250 0.018
0.068 0.750 0.496
0.463 0.515 0.761
0.463 0.985 0.761
0.537 0.015 0.239
0.537 0.485 0.239
0.932 0.250 0.504
0.963 0.750 0.982
```

* energy relative to the lowest polymorph listed for this composition: 0.000 eV per atom
* theoretical density: 4.31 g cm⁻³
* electronic total energy: -4.062 eV per atom